(1)
## Zr2BeVAg (PBE)

Data for Zr2BeVAg after structural relaxation.

The structure in CIF format:
```
data_Zr2BeVAg
_chemical_formula_sum 'Zr2 Be1 V1 Ag1'
_space_group_name_H-M_alt 'P 4/m m m'
_space_group_IT_number 123
_space_group_name_Hall '-P 4 2'
_cell_length_a 4.735
_cell_length_b 4.735
_cell_length_c 4.937
_cell_angle_alpha 90.00
_cell_angle_beta 90.00
_cell_angle_gamma 90.00
loop_
_atom_site_label
_atom_site_type_symbol
_atom_site_fract_x
_atom_site_fract_y
_atom_site_fract_z
_atom_site_occupancy
Zr1 Zr 0.000 0.500 0.000 1
Be1 Be 0.000 0.000 0.500 1
V1 V 0.500 0.500 0.000 1
Ag1 Ag 0.500 0.500 0.500 1
```

* total magnetization: 0.00 μB/cell
* VASP energy: -5.52 eV per atom

***

(2)
## Be2AgW2 (PBE)

Data for Be2AgW2 after structural relaxation.

The structure in CIF format:
```
data_Be2AgW2
_chemical_formula_sum 'Be4 Ag2 W4'
_space_group_name_H-M_alt 'P 4/m b m'
_space_group_IT_number 127
_space_group_name_Hall '-P 4 2ab'
_cell_length_a 6.102
_cell_length_b 6.102
_cell_length_c 3.416
_cell_angle_alpha 90.00
_cell_angle_beta 90.00
_cell_angle_gamma 90.00
loop_
_atom_site_label
_atom_site_type_symbol
_atom_site_fract_x
_atom_site_fract_y
_atom_site_fract_z
_atom_site_occupancy
Be1 Be 0.117 0.383 0.000 1
Ag1 Ag 0.000 0.000 0.000 1
W1 W 0.173 0.673 0.500 1
```

* total magnetization: 0.00 μB/cell
* excess energy over the best structure of this formula in the dataset: 0.00 eV per formula unit

***

(3)
## BeAg3W (PBE)

Data for BeAg3W after structural relaxation.

The structure in CIF format:
```
data_BeAg3W
_chemical_formula_sum 'Be1 Ag3 W1'
_space_group_name_H-M_alt 'P m -3 m'
_space_group_IT_number 221
_space_group_name_Hall '-P 4 2 3'
_cell_length_a 4.326
_cell_length_b 4.326
_cell_length_c 4.326
_cell_angle_alpha 90.00
_cell_angle_beta 90.00
_cell_angle_gamma 90.00
loop_
_atom_site_label
_atom_site_type_symbol
_atom_site_fract_x
_atom_site_fract_y
_atom_site_fract_z
_atom_site_occupancy
Be1 Be 0.000 0.000 0.000 1
Ag1 Ag 0.000 0.000 0.500 1
W1 W 0.500 0.500 0.500 1
```

* total magnetization: 0.00 μB/cell
* excess energy over the best structure of this formula in the dataset: 0.00 eV per formula unit

***

(4)
## BeAgW (PBE)

Data for BeAgW after structural relaxation.

The structure in CIF format:
```
data_BeAgW
_chemical_formula_sum 'Be1 Ag1 W1'
_space_group_name_H-M_alt 'P 3 m 1'
_space_group_IT_number 156
_cell_length_a 2.7651
_cell_length_b 2.7651
_cell_length_c 6.5925
_cell_angle_alpha 90.00
_cell_angle_beta 90.00
_cell_angle_gamma 120.00
loop_
_space_group_symop_operation_xyz
'x,y,z'
'-y,x-y,z'
'-x+y,-x,z'
'-y,-x,z'
'-x+y,y,z'
'x,x-y,z'
loop_
_atom_site_label
_atom_site_type_symbol
_atom_site_fract_x
_atom_site_fract_y
_atom_site_fract_z
_atom_site_occupancy
Be1 Be 0.0000 0.0000 0.0000 1
Ag1 Ag 0.6667 0.3333 0.6915 1
W1 W 0.3333 0.6667 0.3077 1
```

* total magnetization: 0.00 μB/cell
* excess energy over the best structure of this formula in the dataset: 0.36 eV per formula unit

***

(5)
## BeAgW (PBE)

Data for BeAgW after structural relaxation.

The structure in CIF format:
```
data_BeAgW
_chemical_formula_sum 'Be4 Ag4 W4'
_space_group_name_H-M_alt 'F m m 2'
_space_group_IT_number 42
_space_group_name_Hall 'F 2 -2'
_cell_length_a 3.865
_cell_length_b 3.875
_cell_length_c 11.131
_cell_angle_alpha 90.00
_cell_angle_beta 90.00
_cell_angle_gamma 90.00
loop_
_atom_site_label
_atom_site_type_symbol
_atom_site_fract_x
_atom_site_fract_y
_atom_site_fract_z
_atom_site_occupancy
Be1 Be 0.000 0.000 0.000 1
Ag1 Ag 0.000 0.000 0.648 1
W1 W 0.000 0.000 0.350 1
```

* total magnetization: 0.00 μB/cell
* excess energy over the best structure of this formula in the dataset: 0.00 eV per formula unit

***

(6)
## Be3AgW (PBE)

Data for Be3AgW after structural relaxation.

The structure in CIF format:
```
data_Be3AgW
_chemical_formula_sum 'Be3 Ag1 W1'
_space_group_name_H-M_alt 'P m -3 m'
_space_group_IT_number 221
_space_group_name_Hall '-P 4 2 3'
_cell_length_a 4.096
_cell_length_b 4.096
_cell_length_c 4.096
_cell_angle_alpha 90.00
_cell_angle_beta 90.00
_cell_angle_gamma 90.00
loop_
_atom_site_label
_atom_site_type_symbol
_atom_site_fract_x
_atom_site_fract_y
_atom_site_fract_z
_atom_site_occupancy
Be1 Be 0.000 0.000 0.500 1
Ag1 Ag 0.000 0.000 0.000 1
W1 W 0.500 0.500 0.500 1
```

* total magnetization: 0.00 μB/cell
* excess energy over the best structure of this formula in the dataset: 0.00 eV per formula unit

***

(7)
## BeAg3W (PBE)

Data for BeAg3W after structural relaxation.

The structure in CIF format:
```
data_BeAg3W
_chemical_formula_sum 'Be1 Ag3 W1'
_space_group_name_H-M_alt 'P m -3 m'
_space_group_IT_number 221
_space_group_name_Hall '-P 4 2 3'
_cell_length_a 5.095
_cell_length_b 5.095
_cell_length_c 5.095
_cell_angle_alpha 90.00
_cell_angle_beta 90.00
_cell_angle_gamma 90.00
loop_
_atom_site_label
_atom_site_type_symbol
_atom_site_fract_x
_atom_site_fract_y
_atom_site_fract_z
_atom_site_occupancy
Be1 Be 0.000 0.000 0.000 1
Ag1 Ag 0.000 0.500 0.500 1
W1 W 0.500 0.500 0.500 1
```

* total magnetization: 0.18 μB/cell
* excess energy over the best structure of this formula in the dataset: 5.42 eV per formula unit

***

(8)
## Be2AgW2 (PBE)

Data for Be2AgW2 after structural relaxation.

The structure in CIF format:
```
data_Be2AgW2
_chemical_formula_sum 'Be4 Ag2 W4'
_space_group_name_H-M_alt 'I 4/m m m'
_space_group_IT_number 139
_space_group_name_Hall '-I 4 2'
_cell_length_a 3.720
_cell_length_b 3.720
_cell_length_c 10.718
_cell_angle_alpha 90.00
_cell_angle_beta 90.00
_cell_angle_gamma 90.00
loop_
_atom_site_label
_atom_site_type_symbol
_atom_site_fract_x
_atom_site_fract_y
_atom_site_fract_z
_atom_site_occupancy
Be1 Be 0.000 0.000 0.101 1
Ag1 Ag 0.000 0.000 0.500 1
W1 W 0.000 0.500 0.250 1
```

* total magnetization: 0.00 μB/cell
* excess energy over the best structure of this formula in the dataset: 2.08 eV per formula unit

***

(9)
## BeAgW (PBE)

Data for BeAgW after structural relaxation.

The structure in CIF format:
```
data_BeAgW
_chemical_formula_sum 'Be4 Ag4 W4'
_space_group_name_H-M_alt 'F -4 3 m'
_space_group_IT_number 216
_space_group_name_Hall 'F -4 2 3'
_cell_length_a 5.665
_cell_length_b 5.665
_cell_length_c 5.665
_cell_angle_alpha 90.00
_cell_angle_beta 90.00
_cell_angle_gamma 90.00
loop_
_atom_site_label
_atom_site_type_symbol
_atom_site_fract_x
_atom_site_fract_y
_atom_site_fract_z
_atom_site_occupancy
Be1 Be 0.000 0.000 0.000 1
Ag1 Ag 0.250 0.250 0.250 1
W1 W 0.250 0.250 0.750 1
```

* total magnetization: 3.18 μB/cell
* excess energy over the best structure of this formula in the dataset: 2.03 eV per formula unit

***

(10)
## Be3AgW (PBE)

Data for Be3AgW after structural relaxation.

The structure in CIF format:
```
data_Be3AgW
_chemical_formula_sum 'Be3 Ag1 W1'
_space_group_name_H-M_alt 'P m -3 m'
_space_group_IT_number 221
_space_group_name_Hall '-P 4 2 3'
_cell_length_a 4.342
_cell_length_b 4.342
_cell_length_c 4.342
_cell_angle_alpha 90.00
_cell_angle_beta 90.00
_cell_angle_gamma 90.00
loop_
_atom_site_label
_atom_site_type_symbol
_atom_site_fract_x
_atom_site_fract_y
_atom_site_fract_z
_atom_site_occupancy
Be1 Be 0.000 0.000 0.500 1
Ag1 Ag 0.500 0.500 0.500 1
W1 W 0.000 0.000 0.000 1
```

* total magnetization: 0.00 μB/cell
* excess energy over the best structure of this formula in the dataset: 0.95 eV per formula unit

***

(11)
## BeAgW4 (PBE)

Data for BeAgW4 after structural relaxation.

The structure in CIF format:
```
data_BeAgW4
_chemical_formula_sum 'Be4 Ag4 W16'
_space_group_name_H-M_alt 'F -4 3 m'
_space_group_IT_number 216
_space_group_name_Hall 'F -4 2 3'
_cell_length_a 7.453
_cell_length_b 7.453
_cell_length_c 7.453
_cell_angle_alpha 90.00
_cell_angle_beta 90.00
_cell_angle_gamma 90.00
loop_
_atom_site_label
_atom_site_type_symbol
_atom_site_fract_x
_atom_site_fract_y
_atom_site_fract_z
_atom_site_occupancy
Be1 Be 0.000 0.000 0.000 1
Ag1 Ag 0.250 0.250 0.250 1
W1 W 0.125 0.125 0.625 1
```

* total magnetization: 0.00 μB/cell
* VASP energy: -8.79 eV per atom

***

(12)
## Y2BeAg (PBE)

Data for Y2BeAg after structural relaxation.

The structure in CIF format:
```
data_Y2BeAg
_chemical_formula_sum 'Y2 Be1 Ag1'
_space_group_name_H-M_alt 'P 4/m m m'
_space_group_IT_number 123
_space_group_name_Hall '-P 4 2'
_cell_length_a 3.505
_cell_length_b 3.505
_cell_length_c 7.177
_cell_angle_alpha 90.00
_cell_angle_beta 90.00
_cell_angle_gamma 90.00
loop_
_atom_site_label
_atom_site_type_symbol
_atom_site_fract_x
_atom_site_fract_y
_atom_site_fract_z
_atom_site_occupancy
Y1 Y 0.000 0.000 0.229 1
Be1 Be 0.500 0.500 0.000 1
Ag1 Ag 0.500 0.500 0.500 1
```

* total magnetization: 0.00 μB/cell
* VASP energy: -5.00 eV per atom

***

(13)
## Y2BeAg (PBE)

Data for Y2BeAg after structural relaxation.

The structure in CIF format:
```
data_Y2BeAg
_chemical_formula_sum 'Y6 Be3 Ag3'
_space_group_name_H-M_alt 'R 3 m'
_space_group_IT_number 160
_space_group_name_Hall 'R 3 -2"'
_cell_length_a 4.2640
_cell_length_b 4.2640
_cell_length_c 18.7198
_cell_angle_alpha 90.00
_cell_angle_beta 90.00
_cell_angle_gamma 120.00
loop_
_atom_site_label
_atom_site_type_symbol
_atom_site_fract_x
_atom_site_fract_y
_atom_site_fract_z
_atom_site_occupancy
Y1 Y 0.0000 0.0000 0.0000 1
Y2 Y 0.0000 0.0000 0.1844 1
Be1 Be 0.0000 0.0000 0.4201 1
Ag1 Ag 0.0000 0.0000 0.7609 1
```

* total magnetization: 0.01 μB/cell
* VASP energy: -4.85 eV per atom

***

(14)
## Y2BeAg (PBE)

Data for Y2BeAg after structural relaxation.

The structure in CIF format:
```
data_Y2BeAg
_chemical_formula_sum 'Y2 Be1 Ag1'
_space_group_name_H-M_alt 'P 4 m m'
_space_group_IT_number 99
_cell_length_a 3.314
_cell_length_b 3.314
_cell_length_c 8.118
_cell_angle_alpha 90.00
_cell_angle_beta 90.00
_cell_angle_gamma 90.00
loop_
_space_group_symop_operation_xyz
'x,y,z'
'-y,x,z'
'-x,-y,z'
'y,-x,z'
'-x,y,z'
'y,x,z'
'x,-y,z'
'-y,-x,z'
loop_
_atom_site_label
_atom_site_type_symbol
_atom_site_fract_x
_atom_site_fract_y
_atom_site_fract_z
_atom_site_occupancy
Y1 Y 0.000 0.000 0.000 1
Y2 Y 0.500 0.500 0.357 1
Be1 Be 0.500 0.500 0.757 1
Ag1 Ag 0.000 0.000 0.622 1
```

* total magnetization: 0.00 μB/cell
* VASP energy: -4.80 eV per atom